(1)
# PBE ZrZnFeRh, relaxed
# uncorrected energy: -6.738 eV per atom
# calculated volume: 15.0 Å³/atom
# formation energy: -329 meV per atom
# magnetization: 0.89 μB/f.u.
data_ZrZnFeRh
_symmetry_space_group_name_H-M 'F -4 3 m'
_symmetry_Int_Tables_number 216
_symmetry_space_group_name_Hall 'F -4 2 3'
_cell_length_a 6.220
_cell_length_b 6.220
_cell_length_c 6.220
_cell_angle_alpha 90.00
_cell_angle_beta 90.00
_cell_angle_gamma 90.00
loop_
_atom_site_label
_atom_site_type_symbol
_atom_site_fract_x
_atom_site_fract_y
_atom_site_fract_z
Zr1 Zr 0.000 0.000 0.000
Zn1 Zn 0.000 0.000 0.500
Fe1 Fe 0.250 0.250 0.750
Rh1 Rh 0.250 0.250 0.250

=====

(2)
# PBE Mn4InS8, relaxed
# uncorrected energy: -6.096 eV per atom
# calculated volume: 19.1 Å³/atom
# magnetization: 10.69 μB/f.u.
data_Mn4InS8
_symmetry_space_group_name_H-M 'F -4 3 m'
_symmetry_Int_Tables_number 216
_symmetry_space_group_name_Hall 'F -4 2 3'
_cell_length_a 9.980
_cell_length_b 9.980
_cell_length_c 9.980
_cell_angle_alpha 90.00
_cell_angle_beta 90.00
_cell_angle_gamma 90.00
loop_
_atom_site_label
_atom_site_type_symbol
_atom_site_fract_x
_atom_site_fract_y
_atom_site_fract_z
Mn1 Mn 0.116 0.116 0.384
In1 In 0.000 0.000 0.000
S1 S 0.115 0.115 0.615
S2 S 0.142 0.142 0.142

=====

(3)
# PBE La4OsIBr2, relaxed
# uncorrected energy: -5.471 eV per atom
# calculated volume: 32.4 Å³/atom
# magnetization: 0.00 μB/f.u.
data_La4OsIBr2
_symmetry_space_group_name_H-M 'P 1 2/m 1'
_symmetry_Int_Tables_number 10
_symmetry_space_group_name_Hall '-P 2y'
_cell_length_a 7.793
_cell_length_b 4.235
_cell_length_c 8.221
_cell_angle_alpha 90.00
_cell_angle_beta 106.95
_cell_angle_gamma 90.00
loop_
_atom_site_label
_atom_site_type_symbol
_atom_site_fract_x
_atom_site_fract_y
_atom_site_fract_z
La1 La 0.205 0.000 0.197
La2 La 0.236 0.500 0.793
Os1 Os 0.000 0.500 0.000
I1 I 0.000 0.000 0.500
Br1 Br 0.500 0.000 0.000
Br2 Br 0.500 0.500 0.500

=====

(4)
# PBE Zn2WBr, relaxed
# uncorrected energy: -3.519 eV per atom
# calculated volume: 17.5 Å³/atom
# distance to the lowest polymorph of the same formula: 386 meV/atom
# magnetization: 0.00 μB/f.u.
data_Zn2WBr
_symmetry_space_group_name_H-M 'I m m m'
_symmetry_Int_Tables_number 71
_symmetry_space_group_name_Hall '-I 2 2'
_cell_length_a 2.971
_cell_length_b 4.622
_cell_length_c 10.219
_cell_angle_alpha 90.00
_cell_angle_beta 90.00
_cell_angle_gamma 90.00
loop_
_atom_site_label
_atom_site_type_symbol
_atom_site_fract_x
_atom_site_fract_y
_atom_site_fract_z
Zn1 Zn 0.000 0.000 0.228
W1 W 0.000 0.500 0.500
Br1 Br 0.000 0.500 0.000

=====

(5)
# PBE TmThAlRu, relaxed
# uncorrected energy: -6.532 eV per atom
# calculated volume: 22.5 Å³/atom
# formation energy: -305 meV per atom
# magnetization: 0.00 μB/f.u.
data_TmThAlRu
_symmetry_space_group_name_H-M 'F -4 3 m'
_symmetry_Int_Tables_number 216
_symmetry_space_group_name_Hall 'F -4 2 3'
_cell_length_a 7.110
_cell_length_b 7.110
_cell_length_c 7.110
_cell_angle_alpha 90.00
_cell_angle_beta 90.00
_cell_angle_gamma 90.00
loop_
_atom_site_label
_atom_site_type_symbol
_atom_site_fract_x
_atom_site_fract_y
_atom_site_fract_z
Tm1 Tm 0.000 0.000 0.000
Th1 Th 0.000 0.000 0.500
Al1 Al 0.250 0.250 0.750
Ru1 Ru 0.250 0.250 0.250

=====

(6)
# PBE PmSi5Rh2, relaxed
# uncorrected energy: -6.287 eV per atom
# calculated volume: 16.4 Å³/atom
# magnetization: 0.00 μB/f.u.
data_PmSi5Rh2
_symmetry_space_group_name_H-M 'I m m m'
_symmetry_Int_Tables_number 71
_symmetry_space_group_name_Hall '-I 2 2'
_cell_length_a 4.265
_cell_length_b 6.407
_cell_length_c 9.610
_cell_angle_alpha 90.00
_cell_angle_beta 90.00
_cell_angle_gamma 90.00
loop_
_atom_site_label
_atom_site_type_symbol
_atom_site_fract_x
_atom_site_fract_y
_atom_site_fract_z
Pm1 Pm 0.000 0.000 0.000
Si1 Si 0.000 0.187 0.369
Si2 Si 0.000 0.500 0.000
Rh1 Rh 0.000 0.500 0.237